# TlPbAu2

An optimized crystal structure of TlPbAu2 (PBE, Alexandria via LeMat-Bulk).

Geometry as POSCAR:
```
TlPbAu2
1.0
3.964 0.000 0.000
0.000 4.398 0.000
-1.963 0.000 5.649
Tl Pb Au
1 1 2
direct
0.000 0.000 0.000
0.293 0.500 0.585
0.558 0.500 0.120
0.735 0.000 0.459
```

## Properties
- Formation enthalpy at 0 K: -0.26 eV per formula unit
- DOS(E_F): 1.57 states/eV per cell
- Calculated volume: 24.62 Å³ per atom
- Space group: Pm, No. 6
- Total magnetization: 0.000 μB/atom
- ΔE to the lowest computed polymorph: 0.000 eV per atom


# TlPbAu2

An optimized crystal structure of TlPbAu2 (PBE, Alexandria via LeMat-Bulk).

Geometry as POSCAR:
```
TlPbAu2
1.0
7.295 0.000 0.000
0.000 4.368 0.000
-2.625 0.000 6.609
Tl Pb Au
2 2 4
direct
0.000 0.000 0.000
0.500 0.500 0.000
0.000 0.500 0.500
0.500 0.000 0.500
0.249 0.500 0.249
0.251 0.000 0.751
0.749 0.000 0.249
0.751 0.500 0.751
```

## Properties
- Formation enthalpy at 0 K: -0.08 eV per formula unit
- DOS(E_F): 2.06 states/eV per cell
- Calculated volume: 26.33 Å³ per atom
- Space group: C2/m, No. 12
- Total magnetization: 0.000 μB/atom
- ΔE to the lowest computed polymorph: 0.045 eV per atom